Entry from Alexandria via LeMat-Bulk: PuZr5Os4 after structural relaxation (GGA-PBE).

```
PuZr5Os4
1.0
-2.068 2.162 -1.321
-0.944 -2.239 -2.189
-12.721 -5.426 11.033
Zr Os Pu
5 4 1
direct
0.500 0.500 0.500 Zr
0.500 0.500 0.313 Zr
0.500 0.500 0.874 Zr
0.500 0.500 0.687 Zr
0.500 0.500 0.126 Zr
0.000 0.000 0.219 Os
0.000 0.000 0.406 Os
0.000 0.000 0.781 Os
0.000 0.000 0.594 Os
0.000 0.000 0.000 Pu
```

Properties
Density of states at the Fermi level (states/eV per cell): 4.98
Total magnetization (μB per atom): 0.555
Electronic total energy (eV/atom): -10.59
E_form (eV per formula unit): -3.89

---

Entry from Alexandria via LeMat-Bulk: La2TcAu after structural relaxation (GGA-PBE).

```
La2TcAu
1.0
5.030 0.000 0.000
2.515 4.356 0.000
2.515 1.452 4.107
Au La Tc
1 2 1
direct
0.500 0.500 0.500 Au
0.750 0.750 0.750 La
0.000 0.000 0.000 La
0.250 0.250 0.250 Tc
```

Properties
Density of states at the Fermi level (states/eV per cell): 5.07
Total magnetization (μB per atom): 0.126
Electronic total energy (eV/atom): -5.85
E_form (eV per formula unit): 0.09

---

Entry from Alexandria via LeMat-Bulk: Li5In6Hg after structural relaxation (GGA-PBE).

```
Li5In6Hg
1.0
-2.268 2.838 2.633
-5.028 1.841 -6.317
-5.316 -3.571 3.191
Li In Hg
5 6 1
direct
0.655 0.000 0.688 Li
0.000 0.500 0.000 Li
0.331 0.500 0.336 Li
0.345 0.000 0.312 Li
0.669 0.500 0.664 Li
0.500 0.727 0.000 In
0.168 0.253 0.662 In
0.832 0.253 0.338 In
0.500 0.273 0.000 In
0.168 0.747 0.662 In
0.832 0.747 0.338 In
0.000 0.000 0.000 Hg
```

Properties
Density of states at the Fermi level (states/eV per cell): 3.82
Total magnetization (μB per atom): 0.000
Electronic total energy (eV/atom): -2.41
E_form (eV per formula unit): -2.65

---

Question: The highest electronic total energy belongs to which entry?
Answer: Li5In6Hg